First-principles (PBE-GGA) data for a geometry-optimized PaMoS2 structure, as listed in Alexandria via LeMat-Bulk.

Summary:
Energy relative to the lowest polymorph listed for this composition: 0 meV/atom
Volume: 18.3 A^3/atom

a b c (Å): 3.3546 3.3546 13.0250
angles (deg): 90.00 90.00 90.00
Last column: nearest neighbours and their distance in Å.
Space group I-4m2 (No. 119)
Symmetry-distinct sites (fractional):
1 Pa 0.0000 0.0000 0.0000 [2 per cell]  8 S 2.85
2 Mo 0.0000 0.5000 0.7500 [2 per cell]  4 S 2.37
3 S 0.0000 0.0000 0.3790 [4 per cell]  2 Mo 2.37


First-principles (PBE-GGA) data for a geometry-optimized OsPt4Cl structure, as listed in Alexandria via LeMat-Bulk.

Summary:
Volume: 17.5 A^3/atom

a b c (Å): 7.4905 7.4905 7.4905
angles (deg): 90.00 90.00 90.00
Last column: nearest neighbours and their distance in Å.
Space group F-43m (No. 216)
Symmetry-distinct sites (fractional):
1 Os 0.0000 0.0000 0.0000 [4 per cell]  12 Pt 3.10, 4 Cl 3.24
2 Pt 0.1253 0.1253 0.3747 [16 per cell]  6 Pt 2.64-2.66
3 Cl 0.2500 0.2500 0.7500 [4 per cell]  12 Pt 3.11, 4 Os 3.24


First-principles (PBE-GGA) data for a geometry-optimized SrNbO2 structure, as listed in Alexandria via LeMat-Bulk.

Summary:
Energy relative to the lowest polymorph listed for this composition: 271 meV/atom
Volume: 18.1 A^3/atom

a b c (Å): 4.9800 4.9800 11.6750
angles (deg): 90.00 90.00 90.00
Last column: nearest neighbours and their distance in Å.
Space group I-42d (No. 122)
Symmetry-distinct sites (fractional):
1 Sr 0.0000 0.0000 0.0000 [4 per cell]  4 O 2.62
2 Nb 0.0000 0.0000 0.5000 [4 per cell]  4 O 2.05
3 O 0.1429 0.2500 0.6250 [8 per cell]  2 Nb 2.05


First-principles (PBE-GGA) data for a geometry-optimized AcLaPrIr structure, as listed in Alexandria via LeMat-Bulk.

Summary:
Formation energy: -0.26 eV per atom
Volume: 35.3 A^3/atom

a b c (Å): 6.9470 4.0133 10.3995
angles (deg): 90.00 102.80 90.00
Last column: nearest neighbours and their distance in Å.
Space group Cm (No. 8)
Symmetry-distinct sites (fractional):
1 Ac 0.0000 0.0000 0.0000 [2 per cell]  3 Pr 3.99-4.00, 6 Ac 4.01, 3 La 4.09-4.10
2 La 0.4462 0.0000 0.3328 [2 per cell]  3 Ir 2.88
3 Pr 0.0613 0.5000 0.6792 [2 per cell]  3 Ir 2.93
4 Ir 0.1688 0.0000 0.5016 [2 per cell]  3 La 2.88, 3 Pr 2.93


First-principles (PBE-GGA) data for a geometry-optimized TbNd4Dy5 structure, as listed in Alexandria via LeMat-Bulk.

Summary:
Energy relative to the lowest polymorph listed for this composition: 51 meV/atom
Formation energy: 0.24 eV per atom
Volume: 34.2 A^3/atom

a b c (Å): 10.6815 10.6815 5.9932
angles (deg): 90.00 90.00 90.00
Last column: nearest neighbours and their distance in Å.
Space group I4mm (No. 107)
Symmetry-distinct sites (fractional):
1 Tb 0.0000 0.0000 0.0000 [2 per cell]  2 Dy 2.84-3.15
2 Nd 0.0000 0.3238 0.2411 [8 per cell]  2 Dy 3.33
3 Dy 0.0000 0.0000 0.4740 [2 per cell]  2 Tb 2.84-3.15
4 Dy 0.1886 0.1886 0.7362 [8 per cell]  3 Dy 3.25-3.52, 1 Tb 3.26, 2 Nd 3.33


First-principles (PBE-GGA) data for a geometry-optimized Mg2Be2As structure, as listed in Alexandria via LeMat-Bulk.

Summary:
Energy relative to the lowest polymorph listed for this composition: 0 meV/atom
Formation energy: 0.10 eV per atom
Volume: 15.4 A^3/atom

a b c (Å): 6.1466 6.1466 4.0706
angles (deg): 90.00 90.00 90.00
Last column: nearest neighbours and their distance in Å.
Space group P4/mbm (No. 127)
Symmetry-distinct sites (fractional):
1 Mg 0.1665 0.3335 0.0000 [4 per cell]  6 Be 2.72-2.73, 1 Mg 2.89
2 Be 0.1242 0.6242 0.5000 [4 per cell]  1 Be 2.16
3 As 0.0000 0.0000 0.5000 [2 per cell]  4 Be 2.43


First-principles (PBE-GGA) data for a geometry-optimized TmUSn2 structure, as listed in Alexandria via LeMat-Bulk.

Summary:
Energy relative to the lowest polymorph listed for this composition: 28 meV/atom
Formation energy: -0.22 eV per atom
Volume: 25.8 A^3/atom

a b c (Å): 4.9188 4.9188 4.2698
angles (deg): 90.00 90.00 90.00
Last column: nearest neighbours and their distance in Å.
Space group P4/mmm (No. 123)
Symmetry-distinct sites (fractional):
1 Tm 0.0000 0.0000 0.0000 [1 per cell]  8 Sn 3.26, 4 U 3.48
2 U 0.5000 0.5000 0.0000 [1 per cell]  8 Sn 3.26, 4 Tm 3.48
3 Sn 0.0000 0.5000 0.5000 [2 per cell]  4 U 3.26, 4 Tm 3.26, 4 Sn 3.48


First-principles (PBE-GGA) data for a geometry-optimized ScFe2C2 structure, as listed in Alexandria via LeMat-Bulk.

Summary:
Energy relative to the lowest polymorph listed for this composition: 93 meV/atom
Formation energy: -0.18 eV per atom
Volume: 10.3 A^3/atom

a b c (Å): 3.4171 3.4171 8.8380
angles (deg): 90.00 90.00 90.00
Last column: nearest neighbours and their distance in Å.
Space group I4/mmm (No. 139)
Symmetry-distinct sites (fractional):
1 Sc 0.0000 0.0000 0.0000 [2 per cell]  8 C 2.76, 8 Fe 2.79
2 Fe 0.0000 0.5000 0.2500 [4 per cell]  4 C 1.92
3 C 0.0000 0.0000 0.3502 [4 per cell]  4 Fe 1.92


First-principles (PBE-GGA) data for a geometry-optimized Tm6MgSc4 structure, as listed in Alexandria via LeMat-Bulk.

Summary:
Formation energy: 0.28 eV per atom
Volume: 28.6 A^3/atom

a b c (Å): 6.2298 6.2298 16.2326
angles (deg): 90.00 90.00 90.00
Last column: nearest neighbours and their distance in Å.
Space group I-42m (No. 121)
Symmetry-distinct sites (fractional):
1 Tm 0.0000 0.5000 0.0000 [4 per cell]  4 Sc 3.10, 2 Mg 3.11
2 Tm 0.1854 0.1854 0.1761 [8 per cell]  5 Sc 3.20-3.42, 1 Tm 3.27, 1 Mg 3.29
3 Mg 0.0000 0.0000 0.0000 [2 per cell]  8 Tm 3.11-3.29
4 Sc 0.1706 0.1706 0.3731 [8 per cell]  1 Sc 3.01, 5 Tm 3.10-3.25


First-principles (PBE-GGA) data for a geometry-optimized Na2InF4 structure, as listed in Alexandria via LeMat-Bulk.

Summary:
Energy relative to the lowest polymorph listed for this composition: 121 meV/atom
Volume: 17.8 A^3/atom

a b c (Å): 4.4899 4.4899 12.3609
angles (deg): 90.00 90.00 90.00
Last column: nearest neighbours and their distance in Å.
Space group I4/mmm (No. 139)
Symmetry-distinct sites (fractional):
1 Na 0.0000 0.0000 0.1460 [4 per cell]  1 F 2.16
2 In 0.0000 0.0000 0.5000 [2 per cell]  6 F 2.22-2.24
3 F 0.0000 0.0000 0.3205 [4 per cell]  1 Na 2.16, 1 In 2.22
4 F 0.0000 0.5000 0.0000 [4 per cell]  2 In 2.24


First-principles (PBE-GGA) data for a geometry-optimized PrScPd6 structure, as listed in Alexandria via LeMat-Bulk.

Summary:
Formation energy: -0.78 eV per atom
Volume: 17.5 A^3/atom

a b c (Å): 4.1515 4.1515 8.1019
angles (deg): 90.00 90.00 90.00
Last column: nearest neighbours and their distance in Å.
Space group P4/mmm (No. 123)
Symmetry-distinct sites (fractional):
1 Pr 0.0000 0.0000 0.0000 [1 per cell]  12 Pd 2.94-2.99
2 Sc 0.0000 0.0000 0.5000 [1 per cell]  12 Pd 2.81-2.94
3 Pd 0.0000 0.5000 0.2664 [4 per cell]  2 Sc 2.81, 8 Pd 2.81-2.99, 2 Pr 2.99
4 Pd 0.5000 0.5000 0.0000 [1 per cell]  4 Pr 2.94, 8 Pd 2.99
5 Pd 0.5000 0.5000 0.5000 [1 per cell]  8 Pd 2.81, 4 Sc 2.94


First-principles (PBE-GGA) data for a geometry-optimized Dy2ScP3 structure, as listed in Alexandria via LeMat-Bulk.

Summary:
Energy relative to the lowest polymorph listed for this composition: 0 meV/atom
Formation energy: -1.55 eV per atom
Volume: 21.5 A^3/atom

a b c (Å): 3.9285 5.5724 11.7587
angles (deg): 90.00 90.00 90.00
Last column: nearest neighbours and their distance in Å.
Space group Immm (No. 71)
Symmetry-distinct sites (fractional):
1 Dy 0.0000 0.0000 0.1679 [4 per cell]  6 P 2.78-2.83
2 Sc 0.0000 0.0000 0.5000 [2 per cell]  6 P 2.71-2.79
3 P 0.0000 0.5000 0.1587 [4 per cell]  2 Sc 2.71, 4 Dy 2.79-2.83
4 P 0.0000 0.5000 0.5000 [2 per cell]  4 Dy 2.78, 2 Sc 2.79


First-principles (PBE-GGA) data for a geometry-optimized KPa3Cu4S12 structure, as listed in Alexandria via LeMat-Bulk.

Summary:
Volume: 27.4 A^3/atom

a b c (Å): 13.6702 13.6702 10.1707
angles (deg): 90.00 90.00 120.00
Last column: nearest neighbours and their distance in Å.
Space group R32 (No. 155, hexagonal axes)
Symmetry-distinct sites (fractional):
1 K 0.0000 0.0000 0.0000 [3 per cell]  6 S 3.38
2 Pa 0.0000 0.5594 0.0000 [9 per cell]  6 S 2.56-2.71
3 Cu 0.0000 0.0000 0.5000 [3 per cell]  3 S 2.19
4 Cu 0.0000 0.4357 0.5000 [9 per cell]  3 S 2.18-2.20
5 S 0.0000 0.5970 0.5000 [9 per cell]  1 Cu 2.20
6 S 0.0000 0.8401 0.5000 [9 per cell]  1 Cu 2.19
7 S 0.0579 0.2327 0.1760 [18 per cell]  1 Cu 2.18


no.,electronic total energy (eV per atom)
1,-7.936
2,-5.321
3,-7.208
4,-5.929
5,-4.433
6,-2.960
7,-6.165
8,-8.520
9,-4.610
10,-4.162
11,-6.064
12,-6.843
13,-5.579